Here is crystalline Eu2SnF at its relaxed geometry from Alexandria. Energies are from GGA-PBE.

Computed properties:
The offset from the most stable computed form is 0 meV per atom. The calculation puts the total energy at -8.0162 eV per atom. The energy relative to the elements, uncorrected comes out at -136.08 kJ/mol of atoms. The density of states at the Fermi level comes out at 1.63 states/eV/f.u.

a = 3.505 Å, b = 3.505 Å, c = 8.083 Å
α = 90.00°, β = 90.00°, γ = 90.00°
Space group P4/mmm (No. 123)
One atom of each set of equivalent atoms:
Eu  0.000  0.000  0.227 x2
Sn  0.500  0.500  0.500 x1
F  0.500  0.500  0.000 x1

***

Here is crystalline EuSnF at its relaxed geometry from Alexandria. Energies are from GGA-PBE.

Computed properties:
The calculation puts the total energy at -7.1784 eV per atom. The energy relative to the elements, uncorrected comes out at -173.25 kJ/mol of atoms. The density of states at the Fermi level comes out at 6.92 states/eV/f.u.

a = 3.381 Å, b = 3.381 Å, c = 12.804 Å
α = 90.00°, β = 90.00°, γ = 90.00°
Space group I4mm (No. 107)
One atom of each set of equivalent atoms:
Eu  0.000  0.000  0.000 x2
Sn  0.000  0.000  0.280 x2
F  0.000  0.000  0.546 x2

***

Here is crystalline Eu2SnF at its relaxed geometry from Alexandria. Energies are from GGA-PBE.

Computed properties:
The offset from the most stable computed form is 250 meV per atom. The calculation puts the total energy at -7.7659 eV per atom. The energy relative to the elements, uncorrected comes out at -111.94 kJ/mol of atoms. The density of states at the Fermi level comes out at 3.98 states/eV/f.u.

a = 3.7354 Å, b = 3.7354 Å, c = 28.8181 Å
α = 90.00°, β = 90.00°, γ = 120.00°
Space group R-3m (No. 166, hexagonal axes)
One atom of each set of equivalent atoms:
Eu  0.0000  0.0000  0.1107 x6
Sn  0.0000  0.0000  0.0000 x3
F  0.0000  0.0000  0.5000 x3

***

Here is crystalline EuSnF2 at its relaxed geometry from Alexandria. Energies are from GGA-PBE.

Computed properties:
The calculation puts the total energy at -6.5365 eV per atom. The energy relative to the elements, uncorrected comes out at -196.01 kJ/mol of atoms. The density of states at the Fermi level comes out at 10.53 states/eV/f.u.

a = 4.5478 Å, b = 4.5478 Å, c = 13.8939 Å
α = 90.00°, β = 90.00°, γ = 120.00°
Space group R-3m (No. 166, hexagonal axes)
One atom of each set of equivalent atoms:
Eu  0.0000  0.0000  0.0000 x3
Sn  0.0000  0.0000  0.5000 x3
F  0.0000  0.0000  0.1730 x6

***

Here is crystalline SrEuF at its relaxed geometry from Alexandria. Energies are from GGA-PBE.

Computed properties:
The offset from the most stable computed form is 0 meV per atom. The calculation puts the total energy at -6.2501 eV per atom. The energy relative to the elements, uncorrected comes out at -158.32 kJ/mol of atoms. The density of states at the Fermi level comes out at 1.66 states/eV/f.u.

a = 4.0080 Å, b = 4.0080 Å, c = 6.4568 Å
α = 90.00°, β = 90.00°, γ = 120.00°
Space group P3m1 (No. 156)
One atom of each set of equivalent atoms:
Sr  0.0000  0.0000  0.0000 x1
Eu  0.3333  0.6667  0.4886 x1
F  0.6667  0.3333  0.2138 x1

***

Here is crystalline Sr3EuF at its relaxed geometry from Alexandria. Energies are from GGA-PBE.

Computed properties:
The calculation puts the total energy at -4.4185 eV per atom. The energy relative to the elements, uncorrected comes out at -94.58 kJ/mol of atoms. The density of states at the Fermi level comes out at 14.34 states/eV/f.u.

a = 5.779 Å, b = 5.779 Å, c = 5.779 Å
α = 90.00°, β = 90.00°, γ = 90.00°
Space group Pm-3m (No. 221)
One atom of each set of equivalent atoms:
Sr  0.000  0.000  0.500 x3
Eu  0.500  0.500  0.500 x1
F  0.000  0.000  0.000 x1

***

Here is crystalline SrEu3F at its relaxed geometry from Alexandria. Energies are from GGA-PBE.

Computed properties:
The calculation puts the total energy at -7.8428 eV per atom. The energy relative to the elements, uncorrected comes out at -93.35 kJ/mol of atoms. The density of states at the Fermi level comes out at 5.05 states/eV/f.u.

a = 5.594 Å, b = 5.594 Å, c = 5.594 Å
α = 90.00°, β = 90.00°, γ = 90.00°
Space group Pm-3m (No. 221)
One atom of each set of equivalent atoms:
Sr  0.000  0.000  0.000 x1
Eu  0.000  0.500  0.500 x3
F  0.500  0.500  0.500 x1

***

Here is crystalline SrEuF2 at its relaxed geometry from Alexandria. Energies are from GGA-PBE.

Computed properties:
The calculation puts the total energy at -6.7155 eV per atom. The energy relative to the elements, uncorrected comes out at -269.27 kJ/mol of atoms. The density of states at the Fermi level comes out at 11.52 states/eV/f.u.

a = 4.2074 Å, b = 4.2074 Å, c = 19.7395 Å
α = 90.00°, β = 90.00°, γ = 120.00°
Space group R-3m (No. 166, hexagonal axes)
One atom of each set of equivalent atoms:
Sr  0.0000  0.0000  0.0000 x3
Eu  0.0000  0.0000  0.5000 x3
F  0.0000  0.0000  0.1255 x6

***

Here is crystalline SrEuF at its relaxed geometry from Alexandria. Energies are from GGA-PBE.

Computed properties:
The offset from the most stable computed form is 16 meV per atom. The calculation puts the total energy at -6.2337 eV per atom. The energy relative to the elements, uncorrected comes out at -156.74 kJ/mol of atoms. The density of states at the Fermi level comes out at 7.53 states/eV/f.u.

a = 3.659 Å, b = 3.659 Å, c = 14.429 Å
α = 90.00°, β = 90.00°, γ = 90.00°
Space group I4mm (No. 107)
One atom of each set of equivalent atoms:
Sr  0.000  0.000  0.000 x2
Eu  0.000  0.000  0.275 x2
F  0.000  0.000  0.473 x2

***

Here is crystalline Tb2EuF at its relaxed geometry from Alexandria. Energies are from GGA-PBE.

Computed properties:
The calculation puts the total energy at -6.2723 eV per atom. The energy relative to the elements, uncorrected comes out at -88.84 kJ/mol of atoms. The density of states at the Fermi level comes out at 4.73 states/eV/f.u.

a = 3.7027 Å, b = 3.7027 Å, c = 28.3013 Å
α = 90.00°, β = 90.00°, γ = 120.00°
Space group R-3m (No. 166, hexagonal axes)
One atom of each set of equivalent atoms:
Tb  0.0000  0.0000  0.1194 x6
Eu  0.0000  0.0000  0.0000 x3
F  0.0000  0.0000  0.5000 x3

***

Here is crystalline TbEu3F at its relaxed geometry from Alexandria. Energies are from GGA-PBE.

Computed properties:
The calculation puts the total energy at -8.4339 eV per atom. The energy relative to the elements, uncorrected comes out at -93.49 kJ/mol of atoms. The density of states at the Fermi level comes out at 3.57 states/eV/f.u.

a = 5.352 Å, b = 5.352 Å, c = 5.352 Å
α = 90.00°, β = 90.00°, γ = 90.00°
Space group Pm-3m (No. 221)
One atom of each set of equivalent atoms:
Tb  0.000  0.000  0.000 x1
Eu  0.000  0.500  0.500 x3
F  0.500  0.500  0.500 x1

***

Here is crystalline Eu2TeF at its relaxed geometry from Alexandria. Energies are from GGA-PBE.

Computed properties:
The calculation puts the total energy at -8.3801 eV per atom. The energy relative to the elements, uncorrected comes out at -191.97 kJ/mol of atoms. The density of states at the Fermi level comes out at 1.25 states/eV/f.u.

a = 4.2895 Å, b = 4.2895 Å, c = 20.6604 Å
α = 90.00°, β = 90.00°, γ = 120.00°
Space group R-3m (No. 166, hexagonal axes)
One atom of each set of equivalent atoms:
Eu  0.0000  0.0000  0.2361 x6
Te  0.0000  0.0000  0.0000 x3
F  0.0000  0.0000  0.5000 x3

***

Here is crystalline EuTeF at its relaxed geometry from Alexandria. Energies are from GGA-PBE.

Computed properties:
The offset from the most stable computed form is 0 meV per atom. The calculation puts the total energy at -7.4337 eV per atom. The energy relative to the elements, uncorrected comes out at -225.57 kJ/mol of atoms. The density of states at the Fermi level comes out at 10.96 states/eV/f.u.

a = 4.1154 Å, b = 4.1154 Å, c = 4.9983 Å
α = 90.00°, β = 90.00°, γ = 120.00°
Space group P-6m2 (No. 187)
One atom of each set of equivalent atoms:
Eu  0.0000  0.0000  0.0000 x1
Te  0.6667  0.3333  0.5000 x1
F  0.3333  0.6667  0.0000 x1

***

Here is crystalline EuTeF at its relaxed geometry from Alexandria. Energies are from GGA-PBE.

Computed properties:
The offset from the most stable computed form is 176 meV per atom. The calculation puts the total energy at -7.2572 eV per atom. The energy relative to the elements, uncorrected comes out at -208.55 kJ/mol of atoms. The density of states at the Fermi level comes out at 9.52 states/eV/f.u.

a = 3.485 Å, b = 3.485 Å, c = 11.805 Å
α = 90.00°, β = 90.00°, γ = 90.00°
Space group I4mm (No. 107)
One atom of each set of equivalent atoms:
Eu  0.000  0.000  0.000 x2
Te  0.000  0.000  0.291 x2
F  0.000  0.000  0.556 x2

***

Here is crystalline Eu3Tl5F12 at its relaxed geometry from Alexandria. Energies are from GGA-PBE.

Computed properties:
The calculation puts the total energy at -5.8850 eV per atom. The energy relative to the elements, uncorrected comes out at -253.70 kJ/mol of atoms. The density of states at the Fermi level comes out at 47.24 states/eV/f.u.

a = 14.945 Å, b = 14.945 Å, c = 14.945 Å
α = 90.00°, β = 90.00°, γ = 90.00°
Space group Ia-3d (No. 230)
One atom of each set of equivalent atoms:
Eu  0.000  0.250  0.125 x24
Tl  0.000  0.000  0.000 x16
Tl  0.000  0.250  0.375 x24
F  0.017  0.093  0.654 x96

***

Here is crystalline EuTlF2 at its relaxed geometry from Alexandria. Energies are from GGA-PBE.

Computed properties:
The calculation puts the total energy at -6.6847 eV per atom. The energy relative to the elements, uncorrected comes out at -249.79 kJ/mol of atoms. The density of states at the Fermi level comes out at 12.22 states/eV/f.u.

a = 3.8636 Å, b = 3.8636 Å, c = 23.5226 Å
α = 90.00°, β = 90.00°, γ = 120.00°
Space group R-3m (No. 166, hexagonal axes)
One atom of each set of equivalent atoms:
Eu  0.0000  0.0000  0.0000 x3
Tl  0.0000  0.0000  0.5000 x3
F  0.0000  0.0000  0.2938 x6

***

Here is crystalline Eu3Zn5F12 at its relaxed geometry from Alexandria. Energies are from GGA-PBE.

Computed properties:
The calculation puts the total energy at -5.4377 eV per atom. The energy relative to the elements, uncorrected comes out at -236.90 kJ/mol of atoms. The density of states at the Fermi level comes out at 48.40 states/eV/f.u.

a = 13.697 Å, b = 13.697 Å, c = 13.697 Å
α = 90.00°, β = 90.00°, γ = 90.00°
Space group Ia-3d (No. 230)
One atom of each set of equivalent atoms:
Eu  0.000  0.250  0.125 x24
Zn  0.000  0.000  0.000 x16
Zn  0.000  0.250  0.375 x24
F  0.017  0.066  0.640 x96

***

Here is crystalline Eu2ZnF at its relaxed geometry from Alexandria. Energies are from GGA-PBE.

Computed properties:
The calculation puts the total energy at -7.0717 eV per atom. The energy relative to the elements, uncorrected comes out at -110.79 kJ/mol of atoms. The density of states at the Fermi level comes out at 2.46 states/eV/f.u.

a = 3.481 Å, b = 3.481 Å, c = 7.720 Å
α = 90.00°, β = 90.00°, γ = 90.00°
Space group P4/mmm (No. 123)
One atom of each set of equivalent atoms:
Eu  0.000  0.000  0.241 x2
Zn  0.500  0.500  0.500 x1
F  0.500  0.500  0.000 x1

***

Here is crystalline EuZrF7 at its relaxed geometry from Alexandria. Energies are from GGA-PBE.

Computed properties:
The calculation puts the total energy at -7.1537 eV per atom. The energy relative to the elements, uncorrected comes out at -348.01 kJ/mol of atoms. The density of states at the Fermi level comes out at 15.87 states/eV/f.u.

a = 6.206 Å, b = 5.948 Å, c = 8.474 Å
α = 90.00°, β = 102.72°, γ = 90.00°
Space group P2_1 (No. 4)
One atom of each set of equivalent atoms:
Eu  0.156  0.000  0.188 x2
Zr  0.314  0.006  0.724 x2
F  0.033  0.714  0.014 x2
F  0.076  0.766  0.709 x2
F  0.096  0.267  0.709 x2
F  0.269  0.001  0.479 x2
F  0.358  0.009  0.969 x2
F  0.437  0.273  0.255 x2
F  0.442  0.742  0.263 x2

***

Here is crystalline EuFe6 at its relaxed geometry from Alexandria. Energies are from GGA-PBE.

Computed properties:
The calculation puts the total energy at -8.0505 eV per atom. The density of states at the Fermi level comes out at 22.45 states/eV/f.u. Its formation energy is 0.6710 eV/atom.

a = 6.064 Å, b = 6.064 Å, c = 6.064 Å
α = 90.00°, β = 90.00°, γ = 90.00°
Space group Im-3m (No. 229)
One atom of each set of equivalent atoms:
Eu  0.000  0.000  0.000 x2
Fe  0.000  0.250  0.500 x12